Entry 1:
This record from OQMD describes crystalline LiLuGaPd at its relaxed geometry. The functional is GGA-PBE.

Cell: 6.5011 6.5011 6.5011 Å, 90.00 90.00 90.00°
Space group F-43m (No. 216)
Symmetry-distinct sites (fractional):
Li: 0.0000 0.0000 0.0000 x4
Lu: 0.2500 0.2500 0.7500 x4
Ga: 0.2500 0.2500 0.2500 x4
Pd: 0.0000 0.0000 0.5000 x4

Distance to the lowest polymorph of the same formula, meV/atom: 0.0

***

Entry 2:
This record from OQMD describes crystalline ScCu2Ge at its relaxed geometry. The functional is GGA-PBE.

Cell: 6.2417 6.2417 6.2417 Å, 90.00 90.00 90.00°
Space group F-43m (No. 216)
Symmetry-distinct sites (fractional):
Sc: 0.0000 0.0000 0.0000 x4
Cu: 0.0000 0.0000 0.5000 x4
Cu: 0.2500 0.2500 0.7500 x4
Ge: 0.2500 0.2500 0.2500 x4

Total DFT energy (no corrections), eV per atom: -4.882

***

Entry 3:
This record from OQMD describes crystalline HoAuSeO at its relaxed geometry. The functional is GGA-PBE.

Cell: 5.5767 9.5726 5.6068 Å, 90.00 90.00 90.00°
Space group Pcca (No. 54)
Symmetry-distinct sites (fractional):
Ho: 0.0000 0.1133 0.2500 x4
Au: 0.2500 0.5000 0.2164 x4
Se: 0.0000 0.2767 0.7500 x4
O: 0.2500 0.0000 0.0009 x4

Distance to the lowest polymorph of the same formula, meV/atom: 13.8

***

Entry 4:
This record from OQMD describes crystalline GdAlPt at its relaxed geometry. The functional is GGA-PBE.

Cell: 4.4791 4.4791 7.0505 Å, 90.00 90.00 120.00°
Space group P6_3mc (No. 186)
Symmetry-distinct sites (fractional):
Gd: 0.0000 0.0000 0.0000 x2
Al: 0.3333 0.6667 0.2504 x2
Pt: 0.3333 0.6667 0.7480 x2

Total DFT energy (no corrections), eV per atom: -5.850

***

| no. | total moment (μB per cell) |
| --- | --- |
| 1 | 0.00 |
| 2 | 0.00 |
| 3 | 0.00 |
| 4 | 0.01 |